[1]
CaGaHg2 after structural relaxation. Source: Alexandria, functional PBE.

Summary:
As for the space group: No. 122. The theoretical density comes out at 7854 kg/m³. For the density of states at the Fermi level, the calculation gives 5.03 states/eV/cell. The calculation puts the energy of formation at -167 meV/atom. The calculated total energy comes out at -0.1158 Ry per atom.

Lattice parameters (Å, degrees): 10.8510 10.8510 10.8510 155.70 155.70 34.63
With the nearest neighbours (Å) after each atom.
Atoms (fractional coordinates):
1 Ca 0.0000 0.0000 0.0000  4 Hg 3.10, 4 Ga 3.23
2 Ca 0.7500 0.2500 0.5000  4 Hg 3.10, 4 Ga 3.23
3 Ga 0.2500 0.7500 0.5000  4 Hg 3.01, 4 Ca 3.23
4 Ga 0.5000 0.5000 0.0000  4 Hg 3.01, 4 Ca 3.23
5 Hg 0.1521 0.6250 0.0271  2 Ga 3.01, 2 Hg 3.06, 2 Ca 3.10
6 Hg 0.3750 0.4021 0.5271  2 Ga 3.01, 2 Hg 3.06, 2 Ca 3.10
7 Hg 0.5979 0.1250 0.9729  2 Ga 3.01, 2 Hg 3.06, 2 Ca 3.10
8 Hg 0.8750 0.8479 0.4729  2 Ga 3.01, 2 Hg 3.06, 2 Ca 3.10



[2]
CaGa3Hg after structural relaxation. Source: Alexandria, functional PBE.

Summary:
As for the space group: No. 221. The theoretical density comes out at 5182 kg/m³. For the density of states at the Fermi level, the calculation gives 2.27 states/eV/cell. The calculation puts the offset from the most stable computed form at 262.3 kJ/mol of formula units. The calculation puts the energy of formation at 229 meV/atom. The calculated total energy comes out at -0.1505 Ry per atom.

Lattice parameters (Å, degrees): 5.2432 5.2432 5.2432 90.00 90.00 90.00
With the nearest neighbours (Å) after each atom.
Atoms (fractional coordinates):
1 Ca 0.0000 0.0000 0.0000  12 Ga 3.71
2 Ga 0.0000 0.5000 0.5000  2 Hg 2.62
3 Ga 0.5000 0.0000 0.5000  2 Hg 2.62
4 Ga 0.5000 0.5000 0.0000  2 Hg 2.62
5 Hg 0.5000 0.5000 0.5000  6 Ga 2.62